Here is a relaxed structure of Sr4La2Mn3Ir3O18 from Alexandria via LeMat-Bulk. Energies are from GGA+U.

Cell: 5.680 5.680 13.865 Å, 90.00 90.00 120.00°
Last column: magnetic moment on the atom in μB.
Fractional positions:
Sr  0.667  0.333  0.913  0.00
Sr  0.333  0.667  0.087  0.00
Sr  0.667  0.333  0.414  0.00
Sr  0.333  0.667  0.586  0.00
La  0.000  0.000  0.252  0.02
La  0.000  0.000  0.748  0.02
Mn  0.000  0.000  0.000  4.22
Mn  0.333  0.667  0.334  4.22
Mn  0.667  0.333  0.666  4.22
Ir  0.667  0.333  0.166  1.05
Ir  0.000  0.000  0.500  1.23
Ir  0.333  0.667  0.834  1.05
O  0.673  0.837  0.910  0.10
O  0.319  0.159  0.587  0.11
O  0.006  0.503  0.750  0.09
O  0.681  0.841  0.413  0.11
O  0.327  0.163  0.090  0.10
O  0.994  0.497  0.250  0.09
O  0.497  0.994  0.750  0.09
O  0.159  0.319  0.413  0.11
O  0.841  0.681  0.587  0.11
O  0.503  0.006  0.250  0.09
O  0.163  0.327  0.910  0.10
O  0.837  0.673  0.090  0.10
O  0.497  0.503  0.750  0.09
O  0.159  0.841  0.413  0.11
O  0.841  0.159  0.587  0.11
O  0.503  0.497  0.250  0.09
O  0.163  0.837  0.910  0.10
O  0.837  0.163  0.090  0.10

Values from the calculation:
Total moment: 18.7 Bohr magnetons per cell
Calculated total energy: -0.5234 Ry/atom